Entry 1:
GdGaPt2 after structural relaxation. Source: Alexandria, functional PBE.

Cell lengths 4.505, 4.505, 3.710 Å; angles 90.00, 90.00, 90.00 degrees
Positions (direct):
Gd  0.000  0.000  0.000
Ga  0.500  0.500  0.000
Pt  0.000  0.500  0.500
Pt  0.500  0.000  0.500

The calculated volume comes out at 75.32 Å³/f.u. For the formation enthalpy at 0 K, the calculation gives -796 meV/atom. The space-group type is No. 123.

Entry 2:
GdGaPt2 after structural relaxation. Source: Alexandria, functional PBE.

Cell lengths 3.388, 3.388, 6.510 Å; angles 90.00, 90.00, 90.00 degrees
Positions (direct):
Gd  0.000  0.000  0.000
Ga  0.000  0.000  0.500
Pt  0.500  0.500  0.285
Pt  0.500  0.500  0.715

The calculated volume comes out at 74.72 Å³/f.u. For the formation enthalpy at 0 K, the calculation gives -832 meV/atom. The space-group type is No. 123.

Entry 3:
GdGaPt after structural relaxation. Source: Alexandria, functional PBE.

Cell lengths 4.439, 4.439, 3.662 Å; angles 90.00, 90.00, 120.00 degrees
Positions (direct):
Gd  0.000  0.000  0.000
Ga  0.333  0.667  0.500
Pt  0.667  0.333  0.500

The calculated volume comes out at 62.51 Å³/f.u. For the formation enthalpy at 0 K, the calculation gives -1030 meV/atom. The space-group type is No. 187.

Entry 4:
GdGaPt after structural relaxation. Source: Alexandria, functional PBE.

Cell lengths 4.621, 4.621, 4.621 Å; angles 60.00, 60.00, 60.00 degrees
Positions (direct):
Gd  0.000  0.000  0.000
Ga  0.500  0.500  0.500
Pt  0.750  0.750  0.750

The calculated volume comes out at 69.75 Å³/f.u. For the formation enthalpy at 0 K, the calculation gives -861 meV/atom. The space-group type is No. 216.

Entry 5:
GdScGaPt after structural relaxation. Source: Alexandria, functional PBE.

Cell lengths 4.897, 4.897, 4.897 Å; angles 60.00, 60.00, 60.00 degrees
Positions (direct):
Gd  0.000  0.000  0.000
Sc  0.500  0.500  0.500
Ga  0.750  0.750  0.750
Pt  0.250  0.250  0.250

The calculated volume comes out at 83.03 Å³/f.u. For the formation enthalpy at 0 K, the calculation gives -830 meV/atom. The space-group type is No. 216.

Entry 6:
SmGdGaPt after structural relaxation. Source: Alexandria, functional PBE.

Cell lengths 5.090, 5.090, 5.090 Å; angles 60.00, 60.00, 60.00 degrees
Positions (direct):
Sm  0.000  0.000  0.000
Gd  0.500  0.500  0.500
Ga  0.250  0.250  0.250
Pt  0.750  0.750  0.750

The calculated volume comes out at 93.22 Å³/f.u. For the formation enthalpy at 0 K, the calculation gives -806 meV/atom. The space-group type is No. 216.